Below is a geometry-optimized Dy4Al3Ga structure, with properties calculated at the PBE level.

Geometry as CIF:
```
data_Dy4Al3Ga
_space_group_name_H-M_alt 'P m m 2'
_space_group_IT_number 25
_space_group_name_Hall 'P 2 -2'
_cell_length_a 4.0917
_cell_length_b 4.4198
_cell_length_c 11.0848
_cell_angle_alpha 90.00
_cell_angle_beta 90.00
_cell_angle_gamma 90.00
loop_
_atom_site_label
_atom_site_type_symbol
_atom_site_fract_x
_atom_site_fract_y
_atom_site_fract_z
Dy1 Dy 0.0000 0.0000 0.0000
Dy2 Dy 0.0000 0.5000 0.4960
Dy3 Dy 0.5000 0.0000 0.7162
Dy4 Dy 0.5000 0.5000 0.2188
Al1 Al 0.0000 0.5000 0.7829
Al2 Al 0.5000 0.0000 0.4283
Al3 Al 0.5000 0.5000 0.9328
Ga1 Ga 0.0000 0.0000 0.2799
```

Properties
The size of the total moment is 0.0 μB/f.u. As for the formation energy from the elements: -0.443 eV/atom. The value obtained for the density is 6.63 Mg/m³.

Below is a geometry-optimized Cs2KHgF structure, with properties calculated at the PBE level.

Geometry as CIF:
```
data_Cs2KHgF
_space_group_name_H-M_alt 'P 4/m m m'
_space_group_IT_number 123
_space_group_name_Hall '-P 4 2'
_cell_length_a 5.7843
_cell_length_b 5.7843
_cell_length_c 7.6561
_cell_angle_alpha 90.00
_cell_angle_beta 90.00
_cell_angle_gamma 90.00
loop_
_atom_site_label
_atom_site_type_symbol
_atom_site_fract_x
_atom_site_fract_y
_atom_site_fract_z
Cs1 Cs 0.0000 0.5000 0.0000
K1 K 0.0000 0.0000 0.5000
Hg1 Hg 0.5000 0.5000 0.5000
F1 F 0.5000 0.5000 0.0000
```

Properties
The size of the total moment is 0.0 μB/f.u. The raw total energy is -2.01 eV/atom. The value obtained for the density is 3.40 Mg/m³.

Below is a geometry-optimized HgTe2Rh structure, with properties calculated at the PBE level.

Geometry as CIF:
```
data_HgTe2Rh
_space_group_name_H-M_alt 'P 1 m 1'
_space_group_IT_number 6
_space_group_name_Hall 'P -2y'
_cell_length_a 5.1560
_cell_length_b 3.2569
_cell_length_c 6.6173
_cell_angle_alpha 90.00
_cell_angle_beta 112.80
_cell_angle_gamma 90.00
loop_
_atom_site_label
_atom_site_type_symbol
_atom_site_fract_x
_atom_site_fract_y
_atom_site_fract_z
Hg1 Hg 0.0000 0.0000 0.0000
Te1 Te 0.3561 0.5000 0.7111
Te2 Te 0.6370 0.0000 0.2740
Rh1 Rh 0.8026 0.5000 0.6033
```

Properties
The size of the total moment is 0.0 μB/f.u. The raw total energy is -3.57 eV/atom. The value obtained for the density is 9.06 Mg/m³.

Below is a geometry-optimized TbNdGaN3 structure, with properties calculated at the PBE level.

Geometry as CIF:
```
data_TbNdGaN3
_space_group_name_H-M_alt 'P 1 21/m 1'
_space_group_IT_number 11
_space_group_name_Hall '-P 2yb'
_cell_length_a 7.3373
_cell_length_b 3.4714
_cell_length_c 7.6279
_cell_angle_alpha 90.00
_cell_angle_beta 97.13
_cell_angle_gamma 90.00
loop_
_atom_site_label
_atom_site_type_symbol
_atom_site_fract_x
_atom_site_fract_y
_atom_site_fract_z
Tb1 Tb 0.1369 0.2500 0.1587
Nd1 Nd 0.3275 0.7500 0.8188
Ga1 Ga 0.3965 0.7500 0.3963
N1 N 0.1002 0.2500 0.8592
N2 N 0.3328 0.2500 0.5037
N3 N 0.3721 0.7500 0.1417
```

Properties
The size of the total moment is 0.0 μB/f.u. The raw total energy is -7.19 eV/atom. The value obtained for the density is 7.15 Mg/m³.

Below is a geometry-optimized PuSc2Te structure, with properties calculated at the PBE level.

Geometry as CIF:
```
data_PuSc2Te
_space_group_name_H-M_alt 'R 3 m'
_space_group_IT_number 160
_space_group_name_Hall 'R 3 -2"'
_cell_length_a 3.6486
_cell_length_b 3.6486
_cell_length_c 27.7345
_cell_angle_alpha 90.00
_cell_angle_beta 90.00
_cell_angle_gamma 120.00
loop_
_atom_site_label
_atom_site_type_symbol
_atom_site_fract_x
_atom_site_fract_y
_atom_site_fract_z
Pu1 Pu 0.0000 0.0000 0.0000
Sc1 Sc 0.0000 0.0000 0.5725
Sc2 Sc 0.0000 0.0000 0.7605
Te1 Te 0.0000 0.0000 0.1665
```

Properties
The size of the total moment is 6.9 μB/f.u. The raw total energy is -7.84 eV/atom. The value obtained for the density is 7.19 Mg/m³.

Below is a geometry-optimized ScNb5C3 structure, with properties calculated at the PBE level.

Geometry as CIF:
```
data_ScNb5C3
_space_group_name_H-M_alt 'C 1 2/m 1'
_space_group_IT_number 12
_space_group_name_Hall '-C 2y'
_cell_length_a 9.8870
_cell_length_b 7.3406
_cell_length_c 8.1083
_cell_angle_alpha 90.00
_cell_angle_beta 115.63
_cell_angle_gamma 90.00
loop_
_atom_site_label
_atom_site_type_symbol
_atom_site_fract_x
_atom_site_fract_y
_atom_site_fract_z
Sc1 Sc 0.1033 0.0000 0.3062
Nb1 Nb 0.0000 0.2957 0.0000
Nb2 Nb 0.0703 0.5000 0.3657
Nb3 Nb 0.1627 0.2035 0.6673
Nb4 Nb 0.2341 0.0000 0.0306
C1 C 0.0000 0.0000 0.0000
C2 C 0.0000 0.0000 0.5000
C3 C 0.1610 0.5000 0.6664
C4 C 0.1674 0.5000 0.1665
```

Properties
The size of the total moment is 0.0 μB/f.u. As for the formation energy from the elements: -0.434 eV/atom. The value obtained for the density is 6.83 Mg/m³.